VASP calculation (PBE) on a geometry-optimized EuMnC structure.

Output
ρ   7.7 g/cm³
Relative energy among the computed polymorphs   0.0 meV per atom
Formation energy   263.6 meV per atom
Density of states at the Fermi level   2.4 states/eV/f.u.

Structure (CIF):
```
data_EuMnC
_chemical_formula_sum 'Eu1 Mn1 C1'
_cell_length_a 3.4935
_cell_length_b 3.4935
_cell_length_c 4.4609
_cell_angle_alpha 90.00
_cell_angle_beta 90.00
_cell_angle_gamma 120.00
_space_group_name_H-M_alt 'P -6 m 2'
_space_group_IT_number 187
_space_group_name_Hall 'P -6 2'
loop_
_atom_site_label
_atom_site_type_symbol
_atom_site_fract_x
_atom_site_fract_y
_atom_site_fract_z
_atom_site_occupancy
Eu1 Eu 0.0000 0.0000 0.0000 1
Mn1 Mn 0.6667 0.3333 0.5000 1
C1 C 0.3333 0.6667 0.5000 1
```

VASP calculation (PBE) on a geometry-optimized Ba2NaPt3Pb4 structure.

Output
ρ   10.2 g/cm³
Formation energy   -436.5 meV per atom
Density of states at the Fermi level   7.1 states/eV/f.u.

Structure (CIF):
```
data_Ba2NaPt3Pb4
_chemical_formula_sum 'Ba2 Na1 Pt3 Pb4'
_cell_length_a 4.957
_cell_length_b 4.957
_cell_length_c 11.304
_cell_angle_alpha 90.00
_cell_angle_beta 90.00
_cell_angle_gamma 90.00
_space_group_name_H-M_alt 'P -4 m 2'
_space_group_IT_number 115
loop_
_space_group_symop_operation_xyz
'x,y,z'
'y,-x,-z'
'-x,-y,z'
'-y,x,-z'
'-x,y,z'
'-y,-x,-z'
'x,-y,z'
'y,x,-z'
loop_
_atom_site_label
_atom_site_type_symbol
_atom_site_fract_x
_atom_site_fract_y
_atom_site_fract_z
_atom_site_occupancy
Ba1 Ba 0.000 0.500 0.248 1
Na1 Na 0.000 0.000 0.500 1
Pt1 Pt 0.000 0.500 0.876 1
Pt2 Pt 0.500 0.500 0.500 1
Pb1 Pb 0.000 0.000 0.000 1
Pb2 Pb 0.000 0.500 0.633 1
Pb3 Pb 0.500 0.500 0.000 1
```

VASP calculation (PBE) on a geometry-optimized FePRhS2 structure.

Output
ρ   4.2 g/cm³
Formation energy without anion corrections   75.7 kJ per mole of atoms
Relative energy among the computed polymorphs   142.9 meV per atom
Density of states at the Fermi level   6.2 states/eV/f.u.

Structure (CIF):
```
data_FePRhS2
_chemical_formula_sum 'Fe1 P1 Rh1 S2'
_cell_length_a 4.804
_cell_length_b 4.804
_cell_length_c 4.320
_cell_angle_alpha 90.00
_cell_angle_beta 90.00
_cell_angle_gamma 90.00
_space_group_name_H-M_alt 'P 4/m m m'
_space_group_IT_number 123
_space_group_name_Hall '-P 4 2'
loop_
_atom_site_label
_atom_site_type_symbol
_atom_site_fract_x
_atom_site_fract_y
_atom_site_fract_z
_atom_site_occupancy
Fe1 Fe 0.000 0.000 0.000 1
P1 P 0.500 0.500 0.000 1
Rh1 Rh 0.500 0.500 0.500 1
S1 S 0.000 0.500 0.500 1
```

VASP calculation (PBE) on a geometry-optimized AsPbSe2N structure.

Output
ρ   5.7 g/cm³
Formation energy without anion corrections   128.2 kJ per mole of atoms
Relative energy among the computed polymorphs   763.6 meV per atom
Density of states at the Fermi level   9.4 states/eV/f.u.

Structure (CIF):
```
data_AsPbSe2N
_chemical_formula_sum 'As1 Pb1 Se2 N1'
_cell_length_a 5.569
_cell_length_b 5.569
_cell_length_c 4.275
_cell_angle_alpha 90.00
_cell_angle_beta 90.00
_cell_angle_gamma 90.00
_space_group_name_H-M_alt 'P 4/m m m'
_space_group_IT_number 123
_space_group_name_Hall '-P 4 2'
loop_
_atom_site_label
_atom_site_type_symbol
_atom_site_fract_x
_atom_site_fract_y
_atom_site_fract_z
_atom_site_occupancy
As1 As 0.000 0.000 0.000 1
Pb1 Pb 0.500 0.500 0.500 1
Se1 Se 0.000 0.500 0.500 1
N1 N 0.500 0.500 0.000 1
```

VASP calculation (PBE) on a geometry-optimized InTe6 structure.

Output
ρ   4.4 g/cm³
Formation energy without anion corrections   43.8 kJ per mole of atoms
Density of states at the Fermi level   8.9 states/eV/f.u.

Structure (CIF):
```
data_InTe6
_chemical_formula_sum 'In2 Te12'
_cell_length_a 8.737
_cell_length_b 8.737
_cell_length_c 8.737
_cell_angle_alpha 90.00
_cell_angle_beta 90.00
_cell_angle_gamma 90.00
_space_group_name_H-M_alt 'I m -3 m'
_space_group_IT_number 229
_space_group_name_Hall '-I 4 2 3'
loop_
_atom_site_label
_atom_site_type_symbol
_atom_site_fract_x
_atom_site_fract_y
_atom_site_fract_z
_atom_site_occupancy
In1 In 0.000 0.000 0.000 1
Te1 Te 0.000 0.250 0.500 1
```

VASP calculation (PBE) on a geometry-optimized LaNdSeN structure.

Output
ρ   7.0 g/cm³
Formation energy without anion corrections   -157.5 kJ per mole of atoms
Density of states at the Fermi level   1.2 states/eV/f.u.

Structure (CIF):
```
data_LaNdSeN
_chemical_formula_sum 'La3 Nd3 Se3 N3'
_cell_length_a 3.8728
_cell_length_b 3.8728
_cell_length_c 20.6026
_cell_angle_alpha 90.00
_cell_angle_beta 90.00
_cell_angle_gamma 120.00
_space_group_name_H-M_alt 'R 3 m'
_space_group_IT_number 160
_space_group_name_Hall 'R 3 -2"'
loop_
_atom_site_label
_atom_site_type_symbol
_atom_site_fract_x
_atom_site_fract_y
_atom_site_fract_z
_atom_site_occupancy
La1 La 0.0000 0.0000 0.0000 1
Nd1 Nd 0.0000 0.0000 0.4685 1
Se1 Se 0.0000 0.0000 0.2324 1
N1 N 0.0000 0.0000 0.7356 1
```